Material: Pr3Y5Sc2
Method: DFT, GGA-PBE
State: relaxed

a b c (Å): 9.376 9.392 9.413
angles (deg): 106.44 106.50 115.47
Fractional positions:
Pr 0.081 0.029 0.350
Pr 0.272 0.425 0.951
Pr 0.322 0.771 0.850
Pr 0.678 0.229 0.150
Pr 0.728 0.575 0.049
Pr 0.919 0.971 0.650
Y 0.023 0.675 0.448
Y 0.132 0.383 0.250
Y 0.228 0.075 0.054
Y 0.381 0.129 0.749
Y 0.473 0.822 0.548
Y 0.527 0.178 0.452
Y 0.619 0.871 0.251
Y 0.772 0.925 0.946
Y 0.868 0.617 0.750
Y 0.977 0.325 0.552
Sc 0.172 0.722 0.149
Sc 0.427 0.476 0.644
Sc 0.573 0.524 0.356
Sc 0.828 0.278 0.851

Values from the calculation:
**E_tot**: -5.886 eV/atom